1.
Density functional theory data (PBE) for an optimized crystal structure of Sr3VGa.

Values from the calculation:
Formation energy from the elements in meV/atom: 565
ΔE to the lowest computed polymorph in eV per formula unit: 0.00
N(E_F) in states/eV/cell: 8.83
ρ in g/cm³: 2.87
Magnetic moment in Bohr magnetons per cell: 4.04

a = 6.053 Å, b = 6.053 Å, c = 6.053 Å
α = 90.00°, β = 90.00°, γ = 90.00°
Each line ends with the local moment (μB).
Atoms (fractional coordinates):
1 Sr 0.000 0.500 0.000  0.00
2 V 0.500 0.500 0.500  3.14
3 Sr 0.000 0.000 0.500  0.00
4 Ga 0.000 0.000 0.000  -0.16
5 Sr 0.500 0.000 0.000  0.00

***

2.
Density functional theory data (PBE) for an optimized crystal structure of SrVGa3.

Values from the calculation:
Formation energy from the elements in meV/atom: -199
ΔE to the lowest computed polymorph in eV per formula unit: 0.00
N(E_F) in states/eV/cell: 1.18
ρ in g/cm³: 5.04
Magnetic moment in Bohr magnetons per cell: 0.00

a = 4.857 Å, b = 4.857 Å, c = 4.857 Å
α = 90.00°, β = 90.00°, γ = 90.00°
Atoms (fractional coordinates):
1 Ga 0.000 0.500 0.000
2 V 0.000 0.000 0.000
3 Ga 0.500 0.000 0.000
4 Sr 0.500 0.500 0.500
5 Ga 0.000 0.000 0.500

***

3.
Density functional theory data (PBE) for an optimized crystal structure of SrVGa2.

Values from the calculation:
Formation energy from the elements in meV/atom: 197
N(E_F) in states/eV/cell: 6.26
ρ in g/cm³: 4.02
Magnetic moment in Bohr magnetons per cell: 6.52

a = 5.099 Å, b = 5.099 Å, c = 9.534 Å
α = 74.49°, β = 74.49°, γ = 90.00°
Each line ends with the local moment (μB).
Atoms (fractional coordinates):
1 Ga 0.374 0.625 0.250  0.00
2 Ga 0.875 0.626 0.750  0.00
3 V 0.250 0.750 0.500  2.49
4 V 0.500 0.500 0.000  2.49
5 Sr 0.000 0.000 0.000  0.05
6 Ga 0.375 0.624 0.750  0.00
7 Sr 0.750 0.250 0.500  0.05
8 Ga 0.376 0.125 0.250  0.00

***

4.
Density functional theory data (PBE) for an optimized crystal structure of SrVGa.

Values from the calculation:
Formation energy from the elements in meV/atom: 60
N(E_F) in states/eV/cell: 4.91
ρ in g/cm³: 4.75
Magnetic moment in Bohr magnetons per cell: 0.00

a = 5.093 Å, b = 3.601 Å, c = 11.223 Å
α = 90.00°, β = 90.00°, γ = 135.01°
Atoms (fractional coordinates):
1 Sr 0.194 0.389 0.810
2 Ga 0.694 0.388 0.000
3 V 0.695 0.389 0.584
4 Sr 0.194 0.389 0.190
5 V 0.695 0.389 0.416
6 Ga 0.195 0.389 0.500

***

5.
Density functional theory data (PBE) for an optimized crystal structure of SrYV2Ga.

Values from the calculation:
Formation energy from the elements in meV/atom: 1930
N(E_F) in states/eV/cell: 8.14
ρ in g/cm³: 4.28
Magnetic moment in Bohr magnetons per cell: 5.41

a = 4.931 Å, b = 5.551 Å, c = 4.931 Å
α = 90.00°, β = 90.00°, γ = 90.00°
Each line ends with the local moment (μB).
Atoms (fractional coordinates):
1 Ga 0.500 0.500 0.500  -0.01
2 V 0.000 0.000 0.500  2.19
3 Y 0.000 0.500 0.000  -0.24
4 V 0.500 0.000 0.000  2.63
5 Sr 0.000 0.000 0.000  0.14

***

6.
Density functional theory data (PBE) for an optimized crystal structure of Sr3GaW.

Values from the calculation:
Formation energy from the elements in meV/atom: 1033
ΔE to the lowest computed polymorph in eV per formula unit: 0.00
N(E_F) in states/eV/cell: 10.81
ρ in g/cm³: 4.33
Magnetic moment in Bohr magnetons per cell: 0.00

a = 5.831 Å, b = 5.831 Å, c = 5.831 Å
α = 90.00°, β = 90.00°, γ = 90.00°
Atoms (fractional coordinates):
1 Sr 0.500 0.000 0.000
2 Sr 0.000 0.000 0.500
3 Ga 0.500 0.500 0.500
4 W 0.000 0.000 0.000
5 Sr 0.000 0.500 0.000